A relaxed structure of Zn2Ga. Source: OQMD via LeMat-Bulk, functional PBE.

abc: 7.346 7.346 7.346
angles: 90.00 90.00 90.00
Space group Fd-3m (No. 227, origin choice 2)
Symmetry-distinct sites (fractional):
Zn 0.000 0.000 0.000
Ga 0.125 0.125 0.625

## Properties
The calculation puts the final energy at -1.776 eV per atom.